# 1
Crystalline TlTeO3 at its relaxed geometry, computed with GGA-PBE.

Summary:
E_form (uncorrected) in meV per atom: -813
Space group: No. 148
Electronic total energy in eV/atom: -4.890

Cell lengths 6.5256, 6.5256, 5.8797 Å; angles 56.29, 56.29, 60.00 degrees
Positions (direct):
Tl 0.6066 0.6066 0.1802
O 0.9912 0.5128 0.7428
O 0.0088 0.4872 0.2572
Te 0.1627 0.1627 0.5119
O 0.2469 0.0088 0.2572
O 0.5128 0.7531 0.7428
O 0.7531 0.9912 0.7428
Te 0.8373 0.8373 0.4881
O 0.4872 0.2469 0.2572
Tl 0.3934 0.3934 0.8198

=====

# 2
Crystalline CaNd4Th3Se8 at its relaxed geometry, computed with GGA-PBE.

Summary:
E_form (uncorrected) in meV per atom: -1728
Space group: No. 166
D(E_F) in states/eV/cell: 8.54
Electronic total energy in eV/atom: -6.179

Cell lengths 8.4264, 8.4294, 8.4257 Å; angles 119.98, 120.00, 90.00 degrees
Positions (direct):
Se 0.2462 0.7456 0.4925
Se 0.2462 0.7456 0.9994
Th 0.0000 0.5000 0.5000
Ca 0.0000 0.5000 0.0000
Nd 0.5000 0.0000 0.5000
Nd 0.5000 0.0000 0.0000
Se 0.7503 0.7508 0.5005
Se 0.7538 0.2544 0.0006
Nd 0.0000 0.0000 0.5000
Th 0.5000 0.5000 0.5000
Se 0.2497 0.2492 0.4995
Th 0.5000 0.5000 0.0000
Se 0.7532 0.7456 0.9994
Nd 0.0000 0.0000 0.0000
Se 0.7538 0.2544 0.5075
Se 0.2468 0.2544 0.0006

=====

# 3
Crystalline SrAlPt2 at its relaxed geometry, computed with GGA-PBE.

Summary:
Space group: No. 216
D(E_F) in states/eV/cell: 1.46
Electronic total energy in eV/atom: -4.623
Formation energy from the elements in meV/atom: -246

Cell lengths 4.8165, 4.8165, 4.8165 Å; angles 60.00, 60.00, 60.00 degrees
Positions (direct):
Sr 0.7500 0.7500 0.7500
Pt 0.2500 0.2500 0.2500
Pt 0.0000 0.0000 0.0000
Al 0.5000 0.5000 0.5000

=====

# 4
Crystalline ThSbN at its relaxed geometry, computed with GGA-PBE.

Summary:
E_form (uncorrected) in meV per atom: -1003
Polymorph energy (0 for the lowest one) in meV per atom: 285
Space group: No. 164
D(E_F) in states/eV/cell: 2.46
Electronic total energy in eV/atom: -7.626

Cell lengths 4.0182, 4.0182, 10.2887 Å; angles 90.00, 90.00, 120.00 degrees
Positions (direct):
N 0.6667 0.3333 0.9137
N 0.3333 0.6667 0.0863
Th 0.6667 0.3333 0.1422
Sb 0.6667 0.3333 0.5886
Sb 0.3333 0.6667 0.4114
Th 0.3333 0.6667 0.8578

=====

# 5
Crystalline PrYTh2 at its relaxed geometry, computed with GGA-PBE.

Summary:
Polymorph energy (0 for the lowest one) in meV per atom: 0
Space group: No. 11
D(E_F) in states/eV/cell: 13.22
Electronic total energy in eV/atom: -6.493
Formation energy from the elements in meV/atom: 28

Cell lengths 5.0734, 5.1094, 11.4372 Å; angles 90.00, 116.24, 90.00 degrees
Positions (direct):
Pr 0.6352 0.7500 0.6346
Y 0.8656 0.7500 0.3659
Th 0.1202 0.7500 0.1203
Pr 0.3648 0.2500 0.3654
Th 0.3819 0.7500 0.8822
Th 0.6181 0.2500 0.1178
Y 0.1344 0.2500 0.6341
Th 0.8798 0.2500 0.8797

=====

# 6
Crystalline KNbTcAg2 at its relaxed geometry, computed with GGA-PBE.

Summary:
Space group: No. 123
D(E_F) in states/eV/cell: 6.31
Electronic total energy in eV/atom: -3.083
Formation energy from the elements in meV/atom: 2365

Cell lengths 4.8649, 4.7891, 4.8649 Å; angles 90.00, 90.00, 90.00 degrees
Positions (direct):
Ag 0.5000 0.0000 0.0000
K 0.0000 0.0000 0.0000
Tc 0.0000 0.5000 0.0000
Nb 0.5000 0.5000 0.5000
Ag 0.0000 0.0000 0.5000

=====

# 7
Crystalline ScHgIr2 at its relaxed geometry, computed with GGA-PBE.

Summary:
Space group: No. 160
D(E_F) in states/eV/cell: 4.53
Electronic total energy in eV/atom: -5.960
Formation energy from the elements in meV/atom: 129

Cell lengths 9.2531, 9.2531, 9.2531 Å; angles 18.62, 18.62, 18.62 degrees
Positions (direct):
Hg 0.7487 0.7487 0.7487
Ir 0.9953 0.9953 0.9953
Sc 0.5073 0.5073 0.5073
Ir 0.2487 0.2487 0.2487

=====

# 8
Crystalline RbV3Rh at its relaxed geometry, computed with GGA-PBE.

Summary:
Polymorph energy (0 for the lowest one) in meV per atom: 0
Space group: No. 221
D(E_F) in states/eV/cell: 5.66
Electronic total energy in eV/atom: -6.015
Formation energy from the elements in meV/atom: 1120

Cell lengths 4.9196, 4.9196, 4.9196 Å; angles 90.00, 90.00, 90.00 degrees
Positions (direct):
V 0.0000 0.0000 0.5000
Rh 0.0000 0.0000 0.0000
Rb 0.5000 0.5000 0.5000
V 0.0000 0.5000 0.0000
V 0.5000 0.0000 0.0000

=====

# 9
Crystalline BeTeOs2 at its relaxed geometry, computed with GGA-PBE.

Summary:
E_form (uncorrected) in meV per atom: 882
Polymorph energy (0 for the lowest one) in meV per atom: 423
Space group: No. 12
D(E_F) in states/eV/cell: 3.36
Electronic total energy in eV/atom: -6.450

Cell lengths 5.1356, 5.1373, 2.9653 Å; angles 73.18, 73.21, 111.45 degrees
Positions (direct):
Be 0.0000 0.5000 0.5000
Os 0.5000 0.5000 0.0000
Os 0.0000 0.0000 0.0000
Te 0.5000 0.0000 0.5000

=====

# 10
Crystalline KCa2GaRh at its relaxed geometry, computed with GGA-PBE.

Summary:
Space group: No. 123
D(E_F) in states/eV/cell: 3.03
Electronic total energy in eV/atom: -3.349
Formation energy from the elements in meV/atom: -253

Cell lengths 5.5781, 5.5781, 4.9876 Å; angles 90.00, 90.00, 90.00 degrees
Positions (direct):
Ca 0.5000 0.0000 0.0000
K 0.5000 0.5000 0.5000
Ca 0.0000 0.5000 0.0000
Ga 0.0000 0.0000 0.5000
Rh 0.0000 0.0000 0.0000

=====

# 11
Crystalline TiZn2Sn at its relaxed geometry, computed with GGA-PBE.

Summary:
Space group: No. 123
D(E_F) in states/eV/cell: 0.89
Electronic total energy in eV/atom: -3.805
Formation energy from the elements in meV/atom: -193

Cell lengths 4.1377, 4.0538, 4.0538 Å; angles 90.00, 90.00, 90.00 degrees
Positions (direct):
Sn 0.5000 0.5000 0.5000
Ti 0.5000 0.0000 0.0000
Zn 0.0000 0.5000 0.0000
Zn 0.0000 0.0000 0.5000

=====

# 12
Crystalline Y6Ru7 at its relaxed geometry, computed with GGA-PBE.

Summary:
Space group: No. 166
D(E_F) in states/eV/cell: 14.75
Electronic total energy in eV/atom: -8.156
Formation energy from the elements in meV/atom: -178

Cell lengths 10.6250, 10.6250, 10.6250 Å; angles 29.57, 29.57, 29.57 degrees
Positions (direct):
Y 0.6630 0.6630 0.6630
Ru 0.5989 0.5989 0.0865
Ru 0.9135 0.4011 0.4011
Ru 0.5989 0.0865 0.5989
Ru 0.4011 0.9135 0.4011
Y 0.9462 0.9462 0.9462
Y 0.8474 0.8474 0.8474
Ru 0.5000 0.5000 0.5000
Ru 0.4011 0.4011 0.9135
Ru 0.0865 0.5989 0.5989
Y 0.3370 0.3370 0.3370
Y 0.0538 0.0538 0.0538
Y 0.1526 0.1526 0.1526

=====

The lowest electronic total energy belongs to which entry? Y6Ru7

=====

Among the records above, which one has the lowest electronic total energy? Y6Ru7

=====

What did the twelfth record say?
Crystalline Y6Ru7 at its relaxed geometry, computed with GGA-PBE.

Summary:
Space group: No. 166
D(E_F) in states/eV/cell: 14.75
Electronic total energy in eV/atom: -8.156
Formation energy from the elements in meV/atom: -178

Cell lengths 10.6250, 10.6250, 10.6250 Å; angles 29.57, 29.57, 29.57 degrees
Positions (direct):
Y 0.6630 0.6630 0.6630
Ru 0.5989 0.5989 0.0865
Ru 0.9135 0.4011 0.4011
Ru 0.5989 0.0865 0.5989
Ru 0.4011 0.9135 0.4011
Y 0.9462 0.9462 0.9462
Y 0.8474 0.8474 0.8474
Ru 0.5000 0.5000 0.5000
Ru 0.4011 0.4011 0.9135
Ru 0.0865 0.5989 0.5989
Y 0.3370 0.3370 0.3370
Y 0.0538 0.0538 0.0538
Y 0.1526 0.1526 0.1526

=====

electronic total energy of number 3 (SrAlPt2)? -4.623 eV/atom